# Na3PaRh3O8

A relaxed Na3PaRh3O8 crystal (GGA-PBE, Alexandria via LeMat-Bulk).

Results
symmetry	P-1 (2)
raw total energy	-98.06	eV for the cell shown
calculated volume	13.0	Å³ per atom
formation energy from raw total energies	-1.5260	eV/atom

abc: 6.272 6.276 6.746
angles: 117.51 90.13 119.94
Each line ends with the local moment (μB).
Atoms (fractional coordinates):
1 O 0.762 0.521 0.285  0.02
2 O 0.272 0.545 0.317  0.00
3 O 0.757 0.027 0.287  0.01
4 O 0.728 0.455 0.683  0.00
5 O 0.238 0.479 0.715  0.02
6 O 0.267 0.024 0.286  0.01
7 O 0.733 0.976 0.714  0.01
8 O 0.243 0.973 0.713  0.01
9 Pa 0.000 0.000 0.500  0.07
10 Rh 0.500 0.500 0.500  0.26
11 Rh 0.500 0.000 0.500  0.00
12 Rh 0.000 0.500 0.500  0.15
13 Na 0.000 0.000 0.000  0.00
14 Na 0.000 0.500 0.000  0.01
15 Na 0.500 0.500 0.000  0.00

# LiLa4Sn12

A relaxed LiLa4Sn12 crystal (GGA-PBE, Alexandria via LeMat-Bulk).

Results
symmetry	Im-3m (229)
raw total energy	-78.79	eV for the cell shown
formation energy	-0.537	eV per atom
calculated volume	27.0	Å³ per atom

abc: 8.421 8.421 8.421
angles: 109.47 109.47 109.47
Atoms (fractional coordinates):
1 Sn 0.250 0.750 0.500
2 Sn 0.500 0.750 0.250
3 Sn 0.000 0.720 0.720
4 Sn 0.280 0.000 0.280
5 Sn 0.750 0.500 0.250
6 Sn 0.750 0.250 0.500
7 Sn 0.280 0.280 0.000
8 Sn 0.000 0.280 0.280
9 Sn 0.500 0.250 0.750
10 Sn 0.250 0.500 0.750
11 Sn 0.720 0.000 0.720
12 Sn 0.720 0.720 0.000
13 La 0.000 0.000 0.500
14 La 0.000 0.500 0.000
15 La 0.500 0.000 0.000
16 La 0.500 0.500 0.500
17 Li 0.000 0.000 0.000

# BaNaScI6

A relaxed BaNaScI6 crystal (GGA-PBE, Alexandria via LeMat-Bulk).

Results
symmetry	P-31c (163)
raw total energy	-62.68	eV for the cell shown
calculated volume	44.6	Å³ per atom
formation energy from raw total energies	-1.3851	eV/atom

abc: 7.990 7.990 14.531
angles: 90.00 90.00 120.00
Atoms (fractional coordinates):
1 I 0.029 0.652 0.866
2 I 0.348 0.377 0.866
3 I 0.377 0.029 0.134
4 I 0.377 0.348 0.366
5 I 0.623 0.971 0.866
6 I 0.971 0.623 0.366
7 I 0.652 0.029 0.366
8 I 0.348 0.971 0.634
9 I 0.971 0.348 0.134
10 I 0.029 0.377 0.634
11 I 0.652 0.623 0.134
12 I 0.623 0.652 0.634
13 Na 0.667 0.333 0.750
14 Na 0.333 0.667 0.250
15 Sc 0.667 0.333 0.250
16 Sc 0.333 0.667 0.750
17 Ba 0.000 0.000 0.000
18 Ba 0.000 0.000 0.500

# CeTlCuI6

A relaxed CeTlCuI6 crystal (GGA-PBE, Alexandria via LeMat-Bulk).

Results
symmetry	P-31c (163)
raw total energy	-57.13	eV for the cell shown
calculated volume	43.3	Å³ per atom
formation energy from raw total energies	-0.7631	eV/atom

abc: 7.632 7.632 15.470
angles: 90.00 90.00 120.00
Each line ends with the local moment (μB).
Atoms (fractional coordinates):
1 I 0.354 0.983 0.140  -0.02
2 I 0.983 0.629 0.860  -0.02
3 I 0.646 0.629 0.640  -0.02
4 I 0.371 0.354 0.860  -0.02
5 I 0.017 0.646 0.360  -0.02
6 I 0.629 0.983 0.360  -0.02
7 I 0.017 0.371 0.140  -0.02
8 I 0.629 0.646 0.140  -0.02
9 I 0.983 0.354 0.640  -0.02
10 I 0.371 0.017 0.640  -0.02
11 I 0.354 0.371 0.360  -0.02
12 I 0.646 0.017 0.860  -0.02
13 Cu 0.667 0.333 0.750  -0.10
14 Cu 0.333 0.667 0.250  -0.10
15 Tl 0.000 0.000 0.000  -0.01
16 Tl 0.000 0.000 0.500  -0.01
17 Ce 0.667 0.333 0.250  0.29
18 Ce 0.333 0.667 0.750  0.29

# NaH2OsCl8

A relaxed NaH2OsCl8 crystal (GGA-PBE, Alexandria via LeMat-Bulk).

Results
symmetry	P-1 (2)
raw total energy	-42.30	eV for the cell shown
calculated volume	29.0	Å³ per atom

abc: 6.700 6.680 7.898
angles: 88.78 88.82 80.41
Each line ends with the local moment (μB).
Atoms (fractional coordinates):
1 Cl 0.178 0.796 0.794  0.10
2 Cl 0.717 0.722 0.465  0.01
3 Cl 0.822 0.204 0.206  0.10
4 Cl 0.198 0.814 0.206  0.10
5 Cl 0.768 0.778 0.024  0.10
6 Cl 0.283 0.278 0.535  0.01
7 Cl 0.232 0.222 0.976  0.10
8 Cl 0.802 0.186 0.794  0.10
9 Os 0.000 0.000 0.000  1.94
10 H 0.728 0.736 0.299  0.00
11 H 0.272 0.264 0.701  0.00
12 Na 0.000 0.000 0.500  0.00

# Ca2FeBr

A relaxed Ca2FeBr crystal (GGA-PBE, Alexandria via LeMat-Bulk).

Results
symmetry	P4/mmm (123)
raw total energy	-14.76	eV for the cell shown
calculated volume	27.5	Å³ per atom
formation energy from raw total energies	-0.1562	eV/atom

abc: 4.271 4.271 6.040
angles: 90.00 90.00 90.00
Each line ends with the local moment (μB).
Atoms (fractional coordinates):
1 Br 0.500 0.500 0.875  -0.02
2 Fe 0.000 0.000 0.375  2.63
3 Ca 0.500 0.500 0.375  -0.10
4 Ca 0.000 0.000 0.874  -0.12

# Sm8Mg2Ir

A relaxed Sm8Mg2Ir crystal (GGA-PBE, Alexandria via LeMat-Bulk).

Results
symmetry	C2/m (12)
raw total energy	-51.23	eV for the cell shown
formation energy	-0.130	eV per atom
calculated volume	30.1	Å³ per atom

abc: 5.549 7.157 9.332
angles: 109.58 107.30 90.00
Atoms (fractional coordinates):
1 Sm 0.599 0.408 0.197
2 Sm 0.401 0.592 0.803
3 Sm 0.648 0.931 0.295
4 Sm 0.196 0.260 0.392
5 Sm 0.804 0.740 0.608
6 Sm 0.985 0.218 0.971
7 Sm 0.015 0.782 0.029
8 Sm 0.352 0.069 0.705
9 Mg 0.183 0.693 0.365
10 Mg 0.817 0.307 0.635
11 Ir 0.500 0.000 0.000

# Er8TlIn2

A relaxed Er8TlIn2 crystal (GGA-PBE, Alexandria via LeMat-Bulk).

Results
symmetry	C2/m (12)
raw total energy	-46.92	eV for the cell shown
formation energy	-0.234	eV per atom
calculated volume	28.3	Å³ per atom

abc: 5.286 8.493 8.502
angles: 119.24 108.11 90.00
Atoms (fractional coordinates):
1 Er 0.936 0.282 0.872
2 Er 0.064 0.718 0.128
3 Er 0.139 0.183 0.278
4 Er 0.408 0.545 0.816
5 Er 0.319 0.056 0.638
6 Er 0.681 0.944 0.362
7 Er 0.592 0.455 0.184
8 Er 0.861 0.817 0.722
9 In 0.776 0.381 0.552
10 In 0.224 0.619 0.448
11 Tl 0.500 0.000 0.000

# TlNiAg2

A relaxed TlNiAg2 crystal (GGA-PBE, Alexandria via LeMat-Bulk).

Results
symmetry	Pm (6)
raw total energy	-12.91	eV for the cell shown
formation energy	0.234	eV per atom
calculated volume	17.9	Å³ per atom

abc: 3.192 3.087 7.931
angles: 66.72 90.00 90.00
Atoms (fractional coordinates):
1 Ag 0.500 0.226 0.275
2 Ag 0.000 0.982 0.021
3 Tl 0.500 0.782 0.716
4 Ni 0.000 0.510 0.488

# TiMnP2S

A relaxed TiMnP2S crystal (GGA-PBE, Alexandria via LeMat-Bulk).

Results
symmetry	P4/mmm (123)
raw total energy	-30.75	eV for the cell shown
calculated volume	17.8	Å³ per atom
formation energy from raw total energies	0.2524	eV/atom

abc: 4.310 4.780 4.310
angles: 90.00 90.00 90.00
Each line ends with the local moment (μB).
Atoms (fractional coordinates):
1 P 0.000 0.000 0.500  -0.08
2 P 0.500 0.000 0.000  -0.10
3 S 0.000 0.500 0.000  -0.08
4 Mn 0.000 0.000 0.000  2.15
5 Ti 0.500 0.500 0.500  1.45

# Ho4CuPd3

A relaxed Ho4CuPd3 crystal (GGA-PBE, Alexandria via LeMat-Bulk).

Results
symmetry	Pmm2 (25)
raw total energy	-44.17	eV for the cell shown
formation energy	-0.773	eV per atom
calculated volume	22.0	Å³ per atom

abc: 3.712 4.546 10.449
angles: 90.00 90.00 90.00
Atoms (fractional coordinates):
1 Pd 0.500 0.000 0.922
2 Pd 0.000 0.000 0.412
3 Pd 0.000 0.500 0.587
4 Ho 0.500 0.500 0.362
5 Ho 0.000 0.000 0.138
6 Ho 0.000 0.500 0.861
7 Ho 0.500 0.000 0.639
8 Cu 0.500 0.500 0.078

# LaCd6Ga2

A relaxed LaCd6Ga2 crystal (GGA-PBE, Alexandria via LeMat-Bulk).

Results
symmetry	P4/mmm (123)
raw total energy	-18.59	eV for the cell shown
formation energy	-0.236	eV per atom
calculated volume	22.5	Å³ per atom

abc: 4.453 4.453 10.213
angles: 90.00 90.00 90.00
Atoms (fractional coordinates):
1 Cd 0.500 0.500 0.500
2 Cd 0.000 0.500 0.282
3 Cd 0.000 0.000 0.500
4 Cd 0.000 0.500 0.718
5 Cd 0.500 0.000 0.282
6 Cd 0.500 0.000 0.718
7 Ga 0.500 0.500 0.120
8 Ga 0.500 0.500 0.880
9 La 0.000 0.000 0.000